# PaCrAu2O8 (PBE with a Hubbard U, optimized geometry)
# Fermi-level density of states, states/eV/atom: 0.641
# Raw total energy, eV per atom: -6.253
# Density, Mg/m³: 8.1
data_PaCrAu2O8
_cell_length_a 6.804
_cell_length_b 6.804
_cell_length_c 7.099
_cell_angle_alpha 90.00
_cell_angle_beta 90.00
_cell_angle_gamma 90.00
_space_group_name_H-M_alt 'I -4 m 2'
_space_group_IT_number 119
_space_group_name_Hall 'I -4 -2'
loop_
_atom_site_label
_atom_site_fract_x
_atom_site_fract_y
_atom_site_fract_z
Pa1 0.000 0.000 0.000
Cr1 0.000 0.500 0.250
Au1 0.000 0.000 0.500
Au2 0.000 0.500 0.750
O1 0.000 0.192 0.270
O2 0.000 0.327 0.980